[1]
Below is crystalline ScAlNi2 at its relaxed geometry, with properties calculated at the GGA-PBEsol level.

a = 2.8992 Å, b = 4.3183 Å, c = 4.7104 Å
α = 103.98°, β = 107.92°, γ = 90.00°
Element x y z (fractional)
Sc1 0.4934 0.4503 0.9867
Ni1 0.7426 0.2801 0.4851
Al1 0.2647 0.8165 0.5295
Ni2 0.9994 0.9531 0.9987

Summary:
Symmetry   No. 8
Energy of formation from the pure elements   -467.8 meV/atom
E_tot   -6.22 eV/atom
M_tot   0.00 μB/cell
V   54 Å³/cell
Theoretical density   5.79 Mg/m³

[2]
Below is crystalline ReWAu2 at its relaxed geometry, with properties calculated at the GGA-PBEsol level.

a = 2.7816 Å, b = 2.7816 Å, c = 9.5465 Å
α = 81.62°, β = 81.62°, γ = 60.00°
Element x y z (fractional)
Au1 0.7496 0.7496 0.7511
W1 0.5000 0.5000 0.5000
Re1 0.0000 0.0000 0.0000
Au2 0.2504 0.2504 0.2489

Summary:
Symmetry   No. 166
Energy of formation from the pure elements   431.3 meV/atom
E_tot   -8.32 eV/atom
M_tot   0.00 μB/cell
Energy above the most stable polymorph in this dataset   0.17 eV/f.u.
V   63 Å³/cell
Theoretical density   20.12 Mg/m³

[3]
Below is crystalline Co2W at its relaxed geometry, with properties calculated at the GGA-PBEsol level.

a = 4.6150 Å, b = 4.6150 Å, c = 4.6150 Å
α = 60.00°, β = 60.00°, γ = 60.00°
Element x y z (fractional)
Co1 0.1250 0.1250 0.6250
Co2 0.1250 0.6250 0.1250
Co3 0.1250 0.1250 0.1250
W1 0.7500 0.7500 0.7500
W2 0.5000 0.5000 0.5000
Co4 0.6250 0.1250 0.1250

Summary:
Symmetry   No. 227
Energy of formation from the pure elements   -30.0 meV/atom
E_tot   -9.79 eV/atom
M_tot   0.40 μB/cell
V   70 Å³/cell
Theoretical density   14.42 Mg/m³

[4]
Below is crystalline BiPSeO2 at its relaxed geometry, with properties calculated at the GGA-PBEsol level.

a = 3.9842 Å, b = 3.9842 Å, c = 4.8502 Å
α = 90.00°, β = 90.00°, γ = 90.00°
Element x y z (fractional)
P1 0.0000 0.0000 0.5000
Bi1 0.5000 0.5000 0.5000
O1 0.5000 0.0000 0.0000
Se1 0.0000 0.0000 0.0000
O2 0.0000 0.5000 0.0000

Summary:
Symmetry   No. 123
E_tot   -5.00 eV/atom
M_tot   0.00 μB/cell
Uncorrected formation energy   -0.110 eV per atom
V   77 Å³/cell
Theoretical density   7.57 Mg/m³